No. 1
# NdZnH6Ir2

An optimized crystal structure of NdZnH6Ir2 (PBE-GGA, Alexandria via LeMat-Bulk). Values from VASP.

For the total energy, the calculation gives -4.7098 eV per atom. The space group is No. 166. For the mass density, the calculation gives 10.43 Mg/m³.

Cell and atoms, written as Quantum ESPRESSO input:
```
&SYSTEM
  ibrav = 0, nat = 10, ntyp = 4
/
ATOMIC_SPECIES
Nd 144.24 Nd.upf
Zn 65.41 Zn.upf
H 1.01 H.upf
Ir 192.22 Ir.upf
CELL_PARAMETERS angstrom
2.2715 1.3115 5.3466
-2.2715 1.3115 5.3466
0.0000 -2.6229 5.3466
ATOMIC_POSITIONS crystal
Nd 0.0000 0.0000 0.0000
Zn 0.5000 0.5000 0.5000
H 0.0560 0.5633 0.5633
H 0.4367 0.4367 0.9440
H 0.4367 0.9440 0.4367
H 0.5633 0.0560 0.5633
H 0.5633 0.5633 0.0560
H 0.9440 0.4367 0.4367
Ir 0.2086 0.2086 0.2086
Ir 0.7914 0.7914 0.7914
```

No. 2
# CaMg2Pt

An optimized crystal structure of CaMg2Pt (PBE-GGA, Alexandria via LeMat-Bulk). Values from VASP.

For the total energy, the calculation gives -3.2591 eV per atom. For the formation energy, the calculation gives -451 meV/atom. The space group is No. 139. For the mass density, the calculation gives 5.79 Mg/m³.

Cell and atoms, written as Quantum ESPRESSO input:
```
&SYSTEM
  ibrav = 0, nat = 4, ntyp = 3
/
ATOMIC_SPECIES
Ca 40.08 Ca.upf
Mg 24.30 Mg.upf
Pt 195.08 Pt.upf
CELL_PARAMETERS angstrom
-2.2405 2.2405 4.0547
2.2405 -2.2405 4.0547
2.2405 2.2405 -4.0547
ATOMIC_POSITIONS crystal
Ca 0.0000 0.0000 0.0000
Mg 0.2500 0.7500 0.5000
Mg 0.7500 0.2500 0.5000
Pt 0.5000 0.5000 0.0000
```

No. 3
# Nd8Sm6Tm

An optimized crystal structure of Nd8Sm6Tm (PBE-GGA, Alexandria via LeMat-Bulk). Values from VASP.

For the total energy, the calculation gives -4.6157 eV per atom. For the formation energy, the calculation gives 113 meV/atom. The space group is No. 148. For the mass density, the calculation gives 7.09 Mg/m³.

Cell and atoms, written as Quantum ESPRESSO input:
```
&SYSTEM
  ibrav = 0, nat = 15, ntyp = 3
/
ATOMIC_SPECIES
Nd 144.24 Nd.upf
Sm 150.36 Sm.upf
Tm 168.93 Tm.upf
CELL_PARAMETERS angstrom
4.6298 2.6730 7.0148
-4.6298 2.6730 7.0148
0.0000 -5.3460 7.0148
ATOMIC_POSITIONS crystal
Nd 0.0780 0.0780 0.0780
Nd 0.2177 0.6128 0.2505
Nd 0.2505 0.2177 0.6128
Nd 0.3872 0.7495 0.7823
Nd 0.6128 0.2505 0.2177
Nd 0.7495 0.7823 0.3872
Nd 0.7823 0.3872 0.7495
Nd 0.9220 0.9220 0.9220
Sm 0.0400 0.5979 0.7409
Sm 0.2591 0.9600 0.4021
Sm 0.4021 0.2591 0.9600
Sm 0.5979 0.7409 0.0400
Sm 0.7409 0.0400 0.5979
Sm 0.9600 0.4021 0.2591
Tm 0.5000 0.5000 0.5000
```

Which of these has the highest mass density? NdZnH6Ir2